Record 1
! TmPuAl PBE-GGA optimized geometry; values from VASP
! DFT total energy: -7.571 eV/atom
! magnetic moment: 1.953 μB per atom
! DFT formation energy: -0.06 eV/atom
&SYSTEM
  ibrav = 0, nat = 3, ntyp = 3
/
ATOMIC_SPECIES
Tm 168.93 Tm.upf
Al 26.98 Al.upf
Pu 244.00 Pu.upf
ATOMIC_POSITIONS angstrom
Tm 0.0193 -2.8136 -2.4303
Al -1.9921 -2.4679 -0.1351
Pu 1.6420 -2.6047 0.3337
CELL_PARAMETERS angstrom
-2.0186 -2.5008 -0.1369
0.6414 -0.2417 -5.0420
3.0651 -2.6430 3.0842

***

Record 2
! TmPu2Al PBE-GGA optimized geometry; values from VASP
! DFT total energy: -9.172 eV/atom
! magnetic moment: 2.991 μB per atom
! DFT formation energy: 0.05 eV/atom
&SYSTEM
  ibrav = 0, nat = 4, ntyp = 3
/
ATOMIC_SPECIES
Tm 168.93 Tm.upf
Al 26.98 Al.upf
Pu 244.00 Pu.upf
ATOMIC_POSITIONS angstrom
Tm 1.0437 -4.1291 0.0784
Al -0.5317 -2.0583 -1.8118
Pu 2.4420 -3.2098 2.9299
Pu 0.7088 -0.9317 0.8504
CELL_PARAMETERS angstrom
-2.9081 -2.6334 -0.4611
1.8446 -1.4833 -3.1625
3.1508 -4.1415 3.7804

***

- The lowest DFT total energy belongs to which entry?
  TmPu2Al